The following is a PBE-GGA calculation of a relaxed structure of Ho5Pd12Au2, from Alexandria.

Summary:
DOS(E_F)   0.41 states/eV per atom
Mass density   10.7 g/cm³
ΔH_f (0 K)   -0.52 eV per atom
Energy   -101.6 eV/f.u.

a = 5.567 Å, b = 8.758 Å, c = 8.982 Å
α = 109.35°, β = 90.00°, γ = 108.53°
Fractional coordinates of all 19 atoms:
Au1 0.753 0.000 0.000
Au2 0.247 0.000 0.000
Ho1 0.000 0.000 0.500
Ho2 0.315 0.630 0.646
Ho3 0.685 0.370 0.354
Ho4 0.375 0.751 0.136
Ho5 0.625 0.249 0.864
Pd1 0.561 0.586 0.885
Pd2 0.439 0.414 0.115
Pd3 0.907 0.311 0.607
Pd4 0.093 0.689 0.393
Pd5 0.111 0.222 0.295
Pd6 0.975 0.414 0.115
Pd7 0.477 0.953 0.628
Pd8 0.404 0.311 0.607
Pd9 0.596 0.689 0.393
Pd10 0.025 0.586 0.885
Pd11 0.523 0.047 0.372
Pd12 0.889 0.778 0.705